Record 1
DFT (PBE) results for an optimized crystal structure of Re2TcAu.

total energy: -9.387 eV/atom
ΔE_f: 0.25 eV per atom
excess energy over the best structure of this formula in the dataset: 0.052 eV/atom
DOS(E_F): 4.1 states/eV/cell

Unit cell a=2.778 b=2.778 c=8.076 alpha=90.00 beta=90.00 gamma=90.00
Space group P4mm (No. 99)
Asymmetric unit:
Re1 0.000 0.000 0.000 (multiplicity 1)
Re2 0.500 0.500 0.233 (multiplicity 1)
Tc1 0.000 0.000 0.465 (multiplicity 1)
Au1 0.500 0.500 0.732 (multiplicity 1)


Record 2
DFT (PBE) results for an optimized crystal structure of Re2TcAu.

total energy: -8.711 eV/atom
ΔE_f: 0.92 eV per atom
excess energy over the best structure of this formula in the dataset: 0.727 eV/atom
DOS(E_F): 13.0 states/eV/cell

Unit cell a=7.208 b=7.208 c=5.358 alpha=90.00 beta=90.00 gamma=90.00
Space group I-42d (No. 122)
Asymmetric unit:
Re1 0.209 0.250 0.125 (multiplicity 8)
Tc1 0.000 0.000 0.000 (multiplicity 4)
Au1 0.000 0.000 0.500 (multiplicity 4)


Record 3
DFT (PBE) results for an optimized crystal structure of Re2TcAu.

total energy: -9.404 eV/atom
ΔE_f: 0.23 eV per atom
excess energy over the best structure of this formula in the dataset: 0.034 eV/atom
DOS(E_F): 11.2 states/eV/cell

Unit cell a=2.7782 b=2.7782 c=27.9136 alpha=90.00 beta=90.00 gamma=120.00
Space group R-3m (No. 166, hexagonal axes)
Asymmetric unit:
Re1 0.0000 0.0000 0.2453 (multiplicity 6)
Tc1 0.0000 0.0000 0.5000 (multiplicity 3)
Au1 0.0000 0.0000 0.0000 (multiplicity 3)


Record 4
DFT (PBE) results for an optimized crystal structure of ReTc2Au.

total energy: -8.862 eV/atom
ΔE_f: 0.25 eV per atom
excess energy over the best structure of this formula in the dataset: 0.082 eV/atom
DOS(E_F): 5.5 states/eV/cell

Unit cell a=9.299 b=2.818 c=4.802 alpha=90.00 beta=100.97 gamma=90.00
Space group Cm (No. 8)
Asymmetric unit:
Re1 0.000 0.000 0.000 (multiplicity 2)
Tc1 0.016 0.500 0.553 (multiplicity 2)
Tc2 0.257 0.000 0.777 (multiplicity 2)
Au1 0.257 0.500 0.278 (multiplicity 2)


Record 5
DFT (PBE) results for an optimized crystal structure of ReTc2Au.

total energy: -8.736 eV/atom
ΔE_f: 0.38 eV per atom
excess energy over the best structure of this formula in the dataset: 0.208 eV/atom
DOS(E_F): 4.4 states/eV/cell

Unit cell a=3.226 b=3.226 c=6.053 alpha=90.00 beta=90.00 gamma=90.00
Space group P4/mmm (No. 123)
Asymmetric unit:
Re1 0.000 0.000 0.000 (multiplicity 1)
Tc1 0.500 0.500 0.224 (multiplicity 2)
Au1 0.000 0.000 0.500 (multiplicity 1)


Record 6
DFT (PBE) results for an optimized crystal structure of ReTc2Au.

total energy: -8.944 eV/atom
ΔE_f: 0.17 eV per atom
excess energy over the best structure of this formula in the dataset: 0.000 eV/atom
DOS(E_F): 12.2 states/eV/cell

Unit cell a=2.7814 b=2.7814 c=27.7563 alpha=90.00 beta=90.00 gamma=120.00
Space group R-3m (No. 166, hexagonal axes)
Asymmetric unit:
Re1 0.0000 0.0000 0.0000 (multiplicity 3)
Tc1 0.0000 0.0000 0.2545 (multiplicity 6)
Au1 0.0000 0.0000 0.5000 (multiplicity 3)


Record 7
DFT (PBE) results for an optimized crystal structure of ReTc2Au.

total energy: -8.670 eV/atom
ΔE_f: 0.44 eV per atom
excess energy over the best structure of this formula in the dataset: 0.274 eV/atom
DOS(E_F): 4.0 states/eV/cell

Unit cell a=3.326 b=3.326 c=5.743 alpha=90.00 beta=90.00 gamma=90.00
Space group P4mm (No. 99)
Asymmetric unit:
Re1 0.000 0.000 0.000 (multiplicity 1)
Tc1 0.000 0.000 0.435 (multiplicity 1)
Tc2 0.500 0.500 0.203 (multiplicity 1)
Au1 0.500 0.500 0.712 (multiplicity 1)


Record 8
DFT (PBE) results for an optimized crystal structure of ReTcAu3.

total energy: -4.726 eV/atom
ΔE_f: 1.80 eV per atom
excess energy over the best structure of this formula in the dataset: 0.000 eV/atom
DOS(E_F): 4.6 states/eV/cell

Unit cell a=4.999 b=4.999 c=4.999 alpha=90.00 beta=90.00 gamma=90.00
Space group Pm-3m (No. 221)
Asymmetric unit:
Re1 0.000 0.000 0.000 (multiplicity 1)
Tc1 0.500 0.500 0.500 (multiplicity 1)
Au1 0.000 0.000 0.500 (multiplicity 3)